Entry from Alexandria via LeMat-Bulk: a geometry-optimized TiAg2I6 structure (GGA-PBE).

```
data_TiAg2I6
_symmetry_space_group_name_H-M 'C 1 2/c 1'
_symmetry_Int_Tables_number 15
_cell_length_a 14.506
_cell_length_b 12.950
_cell_length_c 8.637
_cell_angle_alpha 90.00
_cell_angle_beta 107.34
_cell_angle_gamma 90.00
loop_
_symmetry_equiv_pos_as_xyz
'x,y,z'
'-x,-y,-z'
'-x,y,-z+1/2'
'x,-y,z+1/2'
'x+1/2,y+1/2,z'
'-x+1/2,-y+1/2,-z'
'-x+1/2,y+1/2,-z+1/2'
'x+1/2,-y+1/2,z+1/2'
loop_
_atom_site_label
_atom_site_type_symbol
_atom_site_fract_x
_atom_site_fract_y
_atom_site_fract_z
_atom_site_occupancy
Ti1 Ti 0.000 0.222 0.250 1
Ag1 Ag 0.180 0.434 0.571 1
I1 I 0.072 0.246 0.575 1
I2 I 0.127 0.082 0.213 1
I3 I 0.141 0.391 0.238 1
```

Output
- uncorrected formation energy (meV/atom) = -449
- energy above the lowest structure with this stoichiometry (meV per atom) = 0.0
- VASP energy (eV per atom) = -2.993

***

Entry from Alexandria via LeMat-Bulk: a geometry-optimized TiAg3I structure (GGA-PBE).

```
data_TiAg3I
_symmetry_space_group_name_H-M 'P m -3 m'
_symmetry_Int_Tables_number 221
_symmetry_space_group_name_Hall '-P 4 2 3'
_cell_length_a 5.392
_cell_length_b 5.392
_cell_length_c 5.392
_cell_angle_alpha 90.00
_cell_angle_beta 90.00
_cell_angle_gamma 90.00
loop_
_atom_site_label
_atom_site_type_symbol
_atom_site_fract_x
_atom_site_fract_y
_atom_site_fract_z
_atom_site_occupancy
Ti1 Ti 0.000 0.000 0.000 1
Ag1 Ag 0.000 0.500 0.500 1
I1 I 0.500 0.500 0.500 1
```

Output
- uncorrected formation energy (meV/atom) = 1260
- energy above the lowest structure with this stoichiometry (meV per atom) = 289.8
- VASP energy (eV per atom) = -2.339

***

Entry from Alexandria via LeMat-Bulk: a geometry-optimized TiAg2I2 structure (GGA-PBE).

```
data_TiAg2I2
_symmetry_space_group_name_H-M 'P 4/m b m'
_symmetry_Int_Tables_number 127
_symmetry_space_group_name_Hall '-P 4 2ab'
_cell_length_a 7.795
_cell_length_b 7.795
_cell_length_c 4.200
_cell_angle_alpha 90.00
_cell_angle_beta 90.00
_cell_angle_gamma 90.00
loop_
_atom_site_label
_atom_site_type_symbol
_atom_site_fract_x
_atom_site_fract_y
_atom_site_fract_z
_atom_site_occupancy
Ti1 Ti 0.000 0.000 0.000 1
Ag1 Ag 0.126 0.374 0.000 1
I1 I 0.189 0.689 0.500 1
```

Output
- uncorrected formation energy (meV/atom) = 413
- energy above the lowest structure with this stoichiometry (meV per atom) = 0.0
- VASP energy (eV per atom) = -2.926

***

Entry from Alexandria via LeMat-Bulk: a geometry-optimized TiAgI4 structure (GGA-PBE).

```
data_TiAgI4
_symmetry_space_group_name_H-M 'C 1 2/m 1'
_symmetry_Int_Tables_number 12
_cell_length_a 16.282
_cell_length_b 4.097
_cell_length_c 7.699
_cell_angle_alpha 90.00
_cell_angle_beta 117.95
_cell_angle_gamma 90.00
loop_
_symmetry_equiv_pos_as_xyz
'x,y,z'
'-x,-y,-z'
'-x,y,-z'
'x,-y,z'
'x+1/2,y+1/2,z'
'-x+1/2,-y+1/2,-z'
'-x+1/2,y+1/2,-z'
'x+1/2,-y+1/2,z'
loop_
_atom_site_label
_atom_site_type_symbol
_atom_site_fract_x
_atom_site_fract_y
_atom_site_fract_z
_atom_site_occupancy
Ti1 Ti 0.000 0.000 0.000 1
Ag1 Ag 0.000 0.500 0.500 1
I1 I 0.105 0.000 0.410 1
I2 I 0.119 0.500 0.983 1
```

Output
- uncorrected formation energy (meV/atom) = -543
- energy above the lowest structure with this stoichiometry (meV per atom) = 0.0
- VASP energy (eV per atom) = -3.368

***

Entry from Alexandria via LeMat-Bulk: a geometry-optimized Ti2AgI2 structure (GGA-PBE).

```
data_Ti2AgI2
_symmetry_space_group_name_H-M 'P 4/m b m'
_symmetry_Int_Tables_number 127
_symmetry_space_group_name_Hall '-P 4 2ab'
_cell_length_a 8.116
_cell_length_b 8.116
_cell_length_c 3.342
_cell_angle_alpha 90.00
_cell_angle_beta 90.00
_cell_angle_gamma 90.00
loop_
_atom_site_label
_atom_site_type_symbol
_atom_site_fract_x
_atom_site_fract_y
_atom_site_fract_z
_atom_site_occupancy
Ti1 Ti 0.153 0.347 0.000 1
Ag1 Ag 0.000 0.000 0.500 1
I1 I 0.146 0.646 0.500 1
```

Output
- uncorrected formation energy (meV/atom) = 384
- energy above the lowest structure with this stoichiometry (meV per atom) = 304.8
- VASP energy (eV per atom) = -3.964

***

Entry from Alexandria via LeMat-Bulk: a geometry-optimized TiAgI6 structure (GGA-PBE).

```
data_TiAgI6
_symmetry_space_group_name_H-M 'C 1 2/m 1'
_symmetry_Int_Tables_number 12
_cell_length_a 7.371
_cell_length_b 13.300
_cell_length_c 7.381
_cell_angle_alpha 90.00
_cell_angle_beta 116.25
_cell_angle_gamma 90.00
loop_
_symmetry_equiv_pos_as_xyz
'x,y,z'
'-x,-y,-z'
'-x,y,-z'
'x,-y,z'
'x+1/2,y+1/2,z'
'-x+1/2,-y+1/2,-z'
'-x+1/2,y+1/2,-z'
'x+1/2,-y+1/2,z'
loop_
_atom_site_label
_atom_site_type_symbol
_atom_site_fract_x
_atom_site_fract_y
_atom_site_fract_z
_atom_site_occupancy
Ti1 Ti 0.000 0.000 0.000 1
Ag1 Ag 0.000 0.500 0.500 1
I1 I 0.217 0.000 0.784 1
I2 I 0.245 0.153 0.246 1
```

Output
- uncorrected formation energy (meV/atom) = -421
- energy above the lowest structure with this stoichiometry (meV per atom) = 0.0
- VASP energy (eV per atom) = -2.927